No. 1
A plane-wave DFT calculation with PBE was carried out for a relaxed structure of CdSi2.

Cell: 4.5036 4.5036 6.4359 Å, 90.00 90.00 120.00°
Closest atoms and distances in Å follow each position.
Sites, in units of the cell vectors:
Si 0.6667 0.3333 0.0534  4 Si 2.53-2.69
Si 0.3333 0.6667 0.9466  4 Si 2.53-2.69
Si 0.3333 0.6667 0.5534  4 Si 2.53-2.69
Si 0.6667 0.3333 0.4466  4 Si 2.53-2.69
Cd 0.0000 0.0000 0.2500  6 Si 2.89, 2 Cd 3.22
Cd 0.0000 0.0000 0.7500  6 Si 2.89, 2 Cd 3.22

Crystal system   hexagonal
Offset from the most stable computed form   74 meV per atom
Space-group type   P6_3/mmc

No. 2
A plane-wave DFT calculation with PBE was carried out for a relaxed structure of Cd3Si4.

Cell: 12.2338 12.2338 12.2338 Å, 164.05 164.05 22.63°
Closest atoms and distances in Å follow each position.
Sites, in units of the cell vectors:
Cd 0.7096 0.7096 0.0000  1 Si 2.89, 4 Cd 3.09
Cd 0.2904 0.2904 0.0000  1 Si 2.89, 4 Cd 3.09
Cd 0.0000 0.0000 0.0000  2 Si 2.86
Si 0.4108 0.4108 0.0000  4 Si 2.51
Si 0.5892 0.5892 0.0000  4 Si 2.51
Si 0.8809 0.8809 0.0000  4 Si 2.51
Si 0.1191 0.1191 0.0000  4 Si 2.51

Crystal system   tetragonal
Offset from the most stable computed form   0 meV per atom
Space-group type   I4/mmm

No. 3
A plane-wave DFT calculation with PBE was carried out for a relaxed structure of Cd5Si.

Cell: 5.6395 5.6395 5.2297 Å, 90.00 90.00 120.00°
Closest atoms and distances in Å follow each position.
Sites, in units of the cell vectors:
Si 0.0000 0.0000 0.0000  6 Cd 3.26
Cd 0.6667 0.3333 0.0000  9 Cd 3.08-3.26, 3 Si 3.26
Cd 0.0000 0.5000 0.5000  8 Cd 2.82-3.08
Cd 0.5000 0.0000 0.5000  8 Cd 2.82-3.08
Cd 0.5000 0.5000 0.5000  8 Cd 2.82-3.08
Cd 0.3333 0.6667 0.0000  9 Cd 3.08-3.26, 3 Si 3.26

Crystal system   hexagonal
Offset from the most stable computed form   217 meV per atom
Space-group type   P6/mmm

No. 4
A plane-wave DFT calculation with PBE was carried out for a relaxed structure of CdSi3.

Cell: 10.1884 10.1884 10.1884 Å, 16.58 16.58 16.58°
Closest atoms and distances in Å follow each position.
Sites, in units of the cell vectors:
Si 0.5000 0.5000 0.5000  6 Si 2.57
Si 0.2308 0.2308 0.2308  3 Si 2.57
Si 0.7692 0.7692 0.7692  3 Si 2.57
Cd 0.0000 0.0000 0.0000  6 Cd 2.94

Crystal system   trigonal
Offset from the most stable computed form   109 meV per atom
Space-group type   R-3m

No. 5
A plane-wave DFT calculation with PBE was carried out for a relaxed structure of Cd5Si4.

Cell: 9.0945 9.0945 5.3150 Å, 90.00 90.00 120.00°
Closest atoms and distances in Å follow each position.
Sites, in units of the cell vectors:
Si 0.5717 0.0000 0.7500  7 Cd 2.72-3.01, 2 Si 2.96
Si 0.0000 0.4283 0.2500  7 Cd 2.72-3.01, 2 Si 2.96
Si 0.0000 0.0000 0.5000  2 Si 2.66, 6 Cd 2.81
Si 0.5717 0.5717 0.2500  7 Cd 2.72-3.01, 2 Si 2.96
Si 0.0000 0.5717 0.7500  7 Cd 2.72-3.01, 2 Si 2.96
Si 0.4283 0.0000 0.2500  7 Cd 2.72-3.01, 2 Si 2.96
Si 0.4283 0.4283 0.7500  7 Cd 2.72-3.01, 2 Si 2.96
Si 0.0000 0.0000 0.0000  2 Si 2.66, 6 Cd 2.81
Cd 0.7274 0.0000 0.2500  5 Si 2.72-3.01
Cd 0.6667 0.3333 0.5000  2 Cd 2.66
Cd 0.3333 0.6667 0.5000  2 Cd 2.66
Cd 0.0000 0.7274 0.2500  5 Si 2.72-3.01
Cd 0.7274 0.7274 0.7500  5 Si 2.72-3.01
Cd 0.6667 0.3333 0.0000  2 Cd 2.66
Cd 0.0000 0.2726 0.7500  5 Si 2.72-3.01
Cd 0.2726 0.2726 0.2500  5 Si 2.72-3.01
Cd 0.2726 0.0000 0.7500  5 Si 2.72-3.01
Cd 0.3333 0.6667 0.0000  2 Cd 2.66

Crystal system   hexagonal
Offset from the most stable computed form   107 meV per atom
Space-group type   P6_3/mcm

No. 6
A plane-wave DFT calculation with PBE was carried out for a relaxed structure of CdSi2.

Cell: 4.0550 4.0550 4.3334 Å, 90.00 90.00 120.00°
Closest atoms and distances in Å follow each position.
Sites, in units of the cell vectors:
Cd 0.0000 0.0000 0.0000  12 Si 3.19
Si 0.6667 0.3333 0.5000  3 Si 2.34
Si 0.3333 0.6667 0.5000  3 Si 2.34

Crystal system   hexagonal
Offset from the most stable computed form   109 meV per atom
Space-group type   P6/mmm

No. 7
A plane-wave DFT calculation with PBE was carried out for a relaxed structure of CdSi2.

Cell: 3.6944 5.2686 6.5039 Å, 90.00 90.00 90.00°
Closest atoms and distances in Å follow each position.
Sites, in units of the cell vectors:
Cd 0.0000 0.0000 0.0000  6 Si 2.69-2.89
Cd 0.5000 0.5000 0.5000  6 Si 2.69-2.89
Si 0.7474 0.5000 0.8893  2 Si 2.33-2.36
Si 0.2526 0.5000 0.1107  2 Si 2.33-2.36
Si 0.7526 0.0000 0.3893  2 Si 2.33-2.36
Si 0.2474 0.0000 0.6107  2 Si 2.33-2.36

Crystal system   orthorhombic
Offset from the most stable computed form   152 meV per atom
Space-group type   Pnnm

No. 8
A plane-wave DFT calculation with PBE was carried out for a relaxed structure of CdSi3.

Cell: 4.3956 4.3956 3.6420 Å, 90.00 90.00 90.00°
Closest atoms and distances in Å follow each position.
Sites, in units of the cell vectors:
Si 0.5000 0.0000 0.5000  8 Si 2.85-3.11, 4 Cd 2.85
Si 0.0000 0.5000 0.5000  4 Cd 2.85, 8 Si 2.85-3.11
Si 0.5000 0.5000 0.0000  8 Si 2.85, 4 Cd 3.11
Cd 0.0000 0.0000 0.0000  12 Si 2.85-3.11

Crystal system   tetragonal
Offset from the most stable computed form   251 meV per atom
Space-group type   P4/mmm

No. 9
A plane-wave DFT calculation with PBE was carried out for a relaxed structure of Cd2Si.

Cell: 6.9230 6.9230 6.9230 Å, 154.36 154.36 36.57°
Closest atoms and distances in Å follow each position.
Sites, in units of the cell vectors:
Si 0.0000 0.0000 0.0000  8 Cd 3.03, 4 Si 3.07
Cd 0.6605 0.6605 0.0000  4 Si 3.03, 8 Cd 3.07-3.20
Cd 0.3395 0.3395 0.0000  4 Si 3.03, 8 Cd 3.07-3.20

Crystal system   tetragonal
Calculated total energy   -2.0881 eV per atom
Space-group type   I4/mmm

No. 10
A plane-wave DFT calculation with PBE was carried out for a relaxed structure of Cd5Si3.

Cell: 8.4092 8.3883 5.5489 Å, 90.00 90.00 120.08°
Closest atoms and distances in Å follow each position.
Sites, in units of the cell vectors:
Cd 0.0001 0.2189 0.2500  5 Si 3.00-3.22, 6 Cd 3.18-3.33
Cd 0.6668 0.3336 0.0000  2 Cd 2.77, 6 Si 2.89
Cd 0.6668 0.3336 0.5000  2 Cd 2.77, 6 Si 2.89
Cd 0.7810 0.0000 0.7500  5 Si 3.00-3.22, 6 Cd 3.19-3.33
Cd 0.2188 0.2189 0.7500  5 Si 3.00-3.22, 6 Cd 3.18-3.33
Cd 0.3332 0.6664 0.5000  2 Cd 2.77, 6 Si 2.89
Cd 0.7812 0.7811 0.2500  5 Si 3.00-3.22, 6 Cd 3.18-3.33
Cd 0.2191 0.0000 0.2500  5 Si 3.00-3.22, 6 Cd 3.19-3.33
Cd 0.3332 0.6664 0.0000  2 Cd 2.77, 6 Si 2.89
Cd 0.9999 0.7811 0.7500  5 Si 3.00-3.22, 6 Cd 3.18-3.33
Si 0.4126 0.4126 0.2500  9 Cd 2.89-3.22, 2 Si 3.14
Si 0.5877 0.0000 0.2500  9 Cd 2.89-3.22, 2 Si 3.14
Si 0.4123 0.0000 0.7500  9 Cd 2.89-3.22, 2 Si 3.14
Si 0.0000 0.5875 0.2500  9 Cd 2.89-3.22, 2 Si 3.14
Si 0.5874 0.5875 0.7500  9 Cd 2.89-3.22, 2 Si 3.14
Si 0.0000 0.4125 0.7500  9 Cd 2.89-3.22, 2 Si 3.14

Crystal system   orthorhombic
Offset from the most stable computed form   79 meV per atom
Space-group type   Cmcm

No. 11
A plane-wave DFT calculation with PBE was carried out for a relaxed structure of CdSi3.

Cell: 2.8232 3.4531 7.3520 Å, 90.00 90.00 90.00°
Closest atoms and distances in Å follow each position.
Sites, in units of the cell vectors:
Cd 0.0000 0.0000 0.0333  2 Cd 2.82, 6 Si 2.88-2.97
Si 0.5000 0.5000 0.7656  2 Si 2.49
Si 0.5000 0.0000 0.5209  6 Si 2.49-2.57
Si 0.0000 0.5000 0.3469  6 Si 2.57-2.82

Crystal system   orthorhombic
Offset from the most stable computed form   37 meV per atom
Space-group type   Pmm2

No. 12
A plane-wave DFT calculation with PBE was carried out for a relaxed structure of CdSi2.

Cell: 7.4395 7.4395 2.6656 Å, 90.00 90.00 90.00°
Closest atoms and distances in Å follow each position.
Sites, in units of the cell vectors:
Cd 0.0000 0.0000 0.5000  2 Cd 2.67, 6 Si 2.78-2.82
Cd 0.5000 0.5000 0.0000  2 Cd 2.67, 6 Si 2.78-2.82
Si 0.2361 0.2361 0.0000  2 Si 2.67, 3 Cd 2.78-2.82
Si 0.7361 0.2639 0.5000  2 Si 2.67, 3 Cd 2.78-2.82
Si 0.7639 0.7639 0.0000  2 Si 2.67, 3 Cd 2.78-2.82
Si 0.2639 0.7361 0.5000  2 Si 2.67, 3 Cd 2.78-2.82

Crystal system   tetragonal
Offset from the most stable computed form   632 meV per atom
Space-group type   P4_2/mnm

| no. | size of the total moment (Bohr magnetons per cell) | DOS(E_F) (states/eV/f.u.) |
| --- | --- | --- |
| 1 | 0.0 | 0.98 |
| 2 | 0.0 | 2.69 |
| 3 | 0.0 | 2.00 |
| 4 | 0.0 | 1.84 |
| 5 | 0.0 | 3.25 |
| 6 | 0.0 | 0.75 |
| 7 | 0.0 | 1.12 |
| 8 | 0.0 | 2.46 |
| 9 | 0.0 | 1.13 |
| 10 | 0.0 | 2.52 |
| 11 | 0.0 | 1.20 |
| 12 | 0.0 | 1.99 |